1.
# CuAsSe2Br (GGA-PBE, relaxed)
# Crystal system = tetragonal
# E above lowest polymorph = 7.23 eV/f.u.
# Formation energy (no corrections) = 1295 meV per atom
data_CuAsSe2Br
_space_group_name_H-M_alt 'P 4/m m m'
_space_group_IT_number 123
_space_group_name_Hall '-P 4 2'
_cell_length_a 5.187
_cell_length_b 5.187
_cell_length_c 5.147
_cell_angle_alpha 90.00
_cell_angle_beta 90.00
_cell_angle_gamma 90.00
loop_
_atom_site_label
_atom_site_fract_x
_atom_site_fract_y
_atom_site_fract_z
Cu1 0.000 0.000 0.000
As1 0.500 0.500 0.000
Se1 0.000 0.500 0.500
Br1 0.500 0.500 0.500

=====

2.
# CuAs2SeBr (GGA-PBE, relaxed)
# Crystal system = tetragonal
# E above lowest polymorph = 0.02 eV/f.u.
# Formation energy (no corrections) = 599 meV per atom
data_CuAs2SeBr
_space_group_name_H-M_alt 'P 4/m m m'
_space_group_IT_number 123
_space_group_name_Hall '-P 4 2'
_cell_length_a 4.914
_cell_length_b 4.914
_cell_length_c 4.638
_cell_angle_alpha 90.00
_cell_angle_beta 90.00
_cell_angle_gamma 90.00
loop_
_atom_site_label
_atom_site_fract_x
_atom_site_fract_y
_atom_site_fract_z
Cu1 0.000 0.000 0.000
As1 0.000 0.500 0.000
Se1 0.000 0.000 0.500
Br1 0.500 0.500 0.500

=====

3.
# CuSiAs2Br (GGA-PBE, relaxed)
# Crystal system = tetragonal
# E above lowest polymorph = 0.00 eV/f.u.
# Formation energy (no corrections) = 787 meV per atom
data_CuSiAs2Br
_space_group_name_H-M_alt 'P 4/m m m'
_space_group_IT_number 123
_space_group_name_Hall '-P 4 2'
_cell_length_a 4.630
_cell_length_b 4.630
_cell_length_c 5.262
_cell_angle_alpha 90.00
_cell_angle_beta 90.00
_cell_angle_gamma 90.00
loop_
_atom_site_label
_atom_site_fract_x
_atom_site_fract_y
_atom_site_fract_z
Cu1 0.000 0.000 0.000
Si1 0.500 0.500 0.500
As1 0.000 0.500 0.000
Br1 0.000 0.000 0.500

=====

4.
# CuSiAs2Br (GGA-PBE, relaxed)
# Crystal system = tetragonal
# E above lowest polymorph = 0.14 eV/f.u.
# Formation energy (no corrections) = 815 meV per atom
data_CuSiAs2Br
_space_group_name_H-M_alt 'P 4/m m m'
_space_group_IT_number 123
_space_group_name_Hall '-P 4 2'
_cell_length_a 4.811
_cell_length_b 4.811
_cell_length_c 5.065
_cell_angle_alpha 90.00
_cell_angle_beta 90.00
_cell_angle_gamma 90.00
loop_
_atom_site_label
_atom_site_fract_x
_atom_site_fract_y
_atom_site_fract_z
Cu1 0.000 0.000 0.000
Si1 0.500 0.500 0.500
As1 0.000 0.500 0.500
Br1 0.500 0.500 0.000

=====

5.
# CuSiAsBr2 (GGA-PBE, relaxed)
# Crystal system = tetragonal
# E above lowest polymorph = 0.02 eV/f.u.
# Formation energy (no corrections) = 603 meV per atom
data_CuSiAsBr2
_space_group_name_H-M_alt 'P 4/m m m'
_space_group_IT_number 123
_space_group_name_Hall '-P 4 2'
_cell_length_a 4.888
_cell_length_b 4.888
_cell_length_c 4.928
_cell_angle_alpha 90.00
_cell_angle_beta 90.00
_cell_angle_gamma 90.00
loop_
_atom_site_label
_atom_site_fract_x
_atom_site_fract_y
_atom_site_fract_z
Cu1 0.000 0.000 0.000
Si1 0.500 0.500 0.500
As1 0.000 0.000 0.500
Br1 0.000 0.500 0.000

=====

6.
# CuSiAsBr2 (GGA-PBE, relaxed)
# Crystal system = tetragonal
# E above lowest polymorph = 0.00 eV/f.u.
# Formation energy (no corrections) = 599 meV per atom
data_CuSiAsBr2
_space_group_name_H-M_alt 'P 4/m m m'
_space_group_IT_number 123
_space_group_name_Hall '-P 4 2'
_cell_length_a 5.000
_cell_length_b 5.000
_cell_length_c 5.092
_cell_angle_alpha 90.00
_cell_angle_beta 90.00
_cell_angle_gamma 90.00
loop_
_atom_site_label
_atom_site_fract_x
_atom_site_fract_y
_atom_site_fract_z
Cu1 0.000 0.000 0.000
Si1 0.500 0.500 0.500
As1 0.500 0.500 0.000
Br1 0.000 0.500 0.500

=====

7.
# SrCuAs2Br (GGA-PBE, relaxed)
# Crystal system = tetragonal
# E above lowest polymorph = 5.56 eV/f.u.
# Formation energy (no corrections) = 743 meV per atom
data_SrCuAs2Br
_space_group_name_H-M_alt 'P 4/m m m'
_space_group_IT_number 123
_space_group_name_Hall '-P 4 2'
_cell_length_a 5.941
_cell_length_b 5.941
_cell_length_c 5.732
_cell_angle_alpha 90.00
_cell_angle_beta 90.00
_cell_angle_gamma 90.00
loop_
_atom_site_label
_atom_site_fract_x
_atom_site_fract_y
_atom_site_fract_z
Sr1 0.000 0.000 0.000
Cu1 0.500 0.500 0.500
As1 0.000 0.500 0.000
Br1 0.000 0.000 0.500

=====

8.
# SrCuAs2Br (GGA-PBE, relaxed)
# Crystal system = tetragonal
# E above lowest polymorph = 0.00 eV/f.u.
# Formation energy (no corrections) = -369 meV per atom
data_SrCuAs2Br
_space_group_name_H-M_alt 'P 4/m m m'
_space_group_IT_number 123
_space_group_name_Hall '-P 4 2'
_cell_length_a 4.605
_cell_length_b 4.605
_cell_length_c 6.263
_cell_angle_alpha 90.00
_cell_angle_beta 90.00
_cell_angle_gamma 90.00
loop_
_atom_site_label
_atom_site_fract_x
_atom_site_fract_y
_atom_site_fract_z
Sr1 0.000 0.000 0.000
Cu1 0.500 0.500 0.500
As1 0.000 0.500 0.500
Br1 0.500 0.500 0.000

=====

Going through the records in order, we get density of states at the Fermi level values of 4.66, 4.31, 5.10, 4.99, 4.83, 3.33, 3.18, 5.71 states/eV/cell.
Going through the records in order, we get mass density values of 4.512, 5.520, 4.730, 4.553, 4.602, 4.257, 3.127, 4.763 Mg/m³.